Entry 1:
## MgIn3Te (meta-GGA SCAN)

Data for a crystal of MgIn3Te relaxed with PBEsol.

Properties
total energy: -27.90 eV per atom
Fermi-level density of states: 2.4 states/eV/cell
uncorrected formation energy: 577 meV per atom
mass density: 4.50 Mg/m³

a b c (Å): 5.6810 5.6810 5.6810
angles (deg): 90.00 90.00 90.00
Element x y z (fractional)
Mg  0.0000  0.0000  0.0000
In  0.0000  0.5000  0.5000
In  0.5000  0.0000  0.5000
In  0.5000  0.5000  0.0000
Te  0.5000  0.5000  0.5000

=====

Entry 2:
## Sc2BeSi (meta-GGA SCAN)

Data for a crystal of Sc2BeSi relaxed with PBEsol.

Properties
total energy: -10.26 eV per atom
Fermi-level density of states: 13.9 states/eV/cell
uncorrected formation energy: 450 meV per atom
mass density: 2.76 Mg/m³

a b c (Å): 3.0742 3.0742 27.9614
angles (deg): 90.00 90.00 120.00
Element x y z (fractional)
Sc  0.0000  0.0000  0.0967
Sc  0.0000  0.0000  0.9033
Sc  0.3333  0.6667  0.5700
Sc  0.3333  0.6667  0.7634
Sc  0.6667  0.3333  0.2366
Sc  0.6667  0.3333  0.4300
Be  0.0000  0.0000  0.5000
Be  0.3333  0.6667  0.1667
Be  0.6667  0.3333  0.8333
Si  0.0000  0.0000  0.0000
Si  0.3333  0.6667  0.6667
Si  0.6667  0.3333  0.3333

=====

Entry 3:
## BeAs2C (meta-GGA SCAN)

Data for a crystal of BeAs2C relaxed with PBEsol.

Properties
total energy: -12.15 eV per atom
energy of formation from the pure elements: 1.56 eV per atom
Fermi-level density of states: 5.5 states/eV/cell
mass density: 5.59 Mg/m³

a b c (Å): 5.8777 5.8777 5.8777
angles (deg): 90.00 90.00 90.00
Element x y z (fractional)
Be  0.0000  0.0000  0.0000
Be  0.0000  0.5000  0.5000
Be  0.5000  0.0000  0.5000
Be  0.5000  0.5000  0.0000
As  0.2500  0.2500  0.2500
As  0.2500  0.2500  0.7500
As  0.2500  0.7500  0.2500
As  0.2500  0.7500  0.7500
As  0.7500  0.2500  0.2500
As  0.7500  0.2500  0.7500
As  0.7500  0.7500  0.2500
As  0.7500  0.7500  0.7500
C  0.0000  0.0000  0.5000
C  0.0000  0.5000  0.0000
C  0.5000  0.0000  0.0000
C  0.5000  0.5000  0.5000

=====

Entry 4:
## Na2SmPCO7 (meta-GGA SCAN)

Data for a crystal of Na2SmPCO7 relaxed with PBEsol.

Properties
total energy: -12.31 eV per atom
Fermi-level density of states: 0.0 states/eV/cell
uncorrected formation energy: -2560 meV per atom
mass density: 3.49 Mg/m³

a b c (Å): 5.0646 7.0143 9.4225
angles (deg): 90.00 90.13 90.00
Element x y z (fractional)
Na  0.2454  0.0116  0.2033
Na  0.2454  0.4884  0.2033
Na  0.7546  0.5116  0.7967
Na  0.7546  0.9884  0.7967
Sm  0.2230  0.2500  0.6117
Sm  0.7770  0.7500  0.3883
P  0.2942  0.7500  0.5912
P  0.7058  0.2500  0.4088
C  0.2481  0.2500  0.9086
C  0.7519  0.7500  0.0914
O  0.0207  0.2500  0.8429
O  0.1568  0.5702  0.6488
O  0.1568  0.9298  0.6488
O  0.2712  0.7500  0.4247
O  0.2724  0.2500  0.0414
O  0.4054  0.2500  0.3767
O  0.4544  0.2500  0.8229
O  0.5456  0.7500  0.1771
O  0.5946  0.7500  0.6233
O  0.7276  0.7500  0.9586
O  0.7288  0.2500  0.5753
O  0.8432  0.0702  0.3512
O  0.8432  0.4298  0.3512
O  0.9793  0.7500  0.1571

=====

Entry 5:
## LiMg2Zr (meta-GGA SCAN)

Data for a crystal of LiMg2Zr relaxed with PBEsol.

Properties
total energy: -10.64 eV per atom
energy of formation from the pure elements: 0.12 eV per atom
Fermi-level density of states: 1.6 states/eV/cell
mass density: 2.94 Mg/m³

a b c (Å): 2.8873 4.6253 6.2171
angles (deg): 90.00 90.00 90.00
Element x y z (fractional)
Li  0.0000  0.0000  0.0000
Mg  0.0000  0.0000  0.4993
Mg  0.5000  0.5000  0.2412
Zr  0.5000  0.5000  0.7427

=====

Entry 6:
## Li2CoSb (meta-GGA SCAN)

Data for a crystal of Li2CoSb relaxed with PBEsol.

Properties
total energy: -14.83 eV per atom
Fermi-level density of states: 1.5 states/eV/cell
uncorrected formation energy: 10 meV per atom
mass density: 5.34 Mg/m³

a b c (Å): 3.0471 4.5391 4.4379
angles (deg): 90.00 99.87 90.00
Element x y z (fractional)
Li  0.2301  0.0000  0.2684
Li  0.7699  0.0000  0.7316
Co  0.0000  0.5000  0.5000
Sb  0.5000  0.5000  0.0000

=====

Entry 7:
## Sc2CrAu (meta-GGA SCAN)

Data for a crystal of Sc2CrAu relaxed with PBEsol.

Properties
total energy: -29.42 eV per atom
energy of formation from the pure elements: -0.41 eV per atom
Fermi-level density of states: 2.1 states/eV/cell
mass density: 7.85 Mg/m³

a b c (Å): 6.5935 6.5935 6.5935
angles (deg): 90.00 90.00 90.00
Element x y z (fractional)
Sc  0.0000  0.0000  0.0000
Sc  0.0000  0.5000  0.5000
Sc  0.2500  0.2500  0.2500
Sc  0.2500  0.7500  0.7500
Sc  0.5000  0.0000  0.5000
Sc  0.5000  0.5000  0.0000
Sc  0.7500  0.2500  0.7500
Sc  0.7500  0.7500  0.2500
Cr  0.0000  0.0000  0.5000
Cr  0.0000  0.5000  0.0000
Cr  0.5000  0.0000  0.0000
Cr  0.5000  0.5000  0.5000
Au  0.2500  0.2500  0.7500
Au  0.2500  0.7500  0.2500
Au  0.7500  0.2500  0.2500
Au  0.7500  0.7500  0.7500

=====

Entry 8:
## IO2 (meta-GGA SCAN)

Data for a crystal of IO2 relaxed with PBEsol.

Properties
total energy: -16.67 eV per atom
Fermi-level density of states: 0.0 states/eV/cell
uncorrected formation energy: -271 meV per atom
mass density: 5.67 Mg/m³

a b c (Å): 7.6149 6.7545 8.0526
angles (deg): 90.00 116.02 90.00
Element x y z (fractional)
I  0.1314  0.1293  0.3074
I  0.1314  0.3707  0.8074
I  0.3255  0.7419  0.1443
I  0.3255  0.7581  0.6443
I  0.6745  0.2419  0.3557
I  0.6745  0.2581  0.8557
I  0.8686  0.6293  0.1926
I  0.8686  0.8707  0.6926
O  0.0550  0.7438  0.5098
O  0.0550  0.7562  0.0098
O  0.3109  0.0490  0.2085
O  0.3108  0.0486  0.5583
O  0.3108  0.4514  0.0583
O  0.3109  0.4510  0.7085
O  0.3133  0.6525  0.3527
O  0.3133  0.8475  0.8527
O  0.6867  0.1525  0.1473
O  0.6867  0.3475  0.6473
O  0.6891  0.5490  0.2915
O  0.6892  0.5486  0.9417
O  0.6892  0.9514  0.4417
O  0.6891  0.9510  0.7915
O  0.9450  0.2438  0.9902
O  0.9450  0.2562  0.4902

=====

Entry 9:
## SrCaB11H7O22 (meta-GGA SCAN)

Data for a crystal of SrCaB11H7O22 relaxed with PBEsol.

Properties
total energy: -8.92 eV per atom
Fermi-level density of states: 0.0 states/eV/cell
mass density: 2.57 Mg/m³

a b c (Å): 6.6191 20.3370 6.6819
angles (deg): 90.00 119.36 90.00
Element x y z (fractional)
Sr  0.2006  0.0000  0.3842
Sr  0.7994  0.5000  0.6158
Ca  0.4802  0.6149  0.9160
Ca  0.5198  0.1149  0.0840
B  0.0187  0.1515  0.9749
B  0.0632  0.6333  0.4244
B  0.1008  0.9979  0.7933
B  0.1100  0.2571  0.1875
B  0.1915  0.8463  0.4224
B  0.1969  0.1521  0.3959
B  0.2119  0.4911  0.1186
B  0.2945  0.4710  0.5185
B  0.3773  0.6283  0.3344
B  0.3981  0.3672  0.7535
B  0.4749  0.4746  0.9414
B  0.5251  0.9746  0.0586
B  0.6019  0.8672  0.2465
B  0.6227  0.1283  0.6656
B  0.7055  0.9710  0.4815
B  0.7881  0.9911  0.8814
B  0.8031  0.6521  0.6041
B  0.8085  0.3463  0.5776
B  0.8900  0.7571  0.8125
B  0.8992  0.4979  0.2067
B  0.9368  0.1333  0.5756
B  0.9813  0.6515  0.0251
H  0.0232  0.8576  0.0666
H  0.1217  0.7579  0.2804
H  0.1804  0.3514  0.3233
H  0.3283  0.2728  0.6242
H  0.3586  0.7457  0.7125
H  0.3652  0.8779  0.7741
H  0.5003  0.2581  0.0073
H  0.4997  0.7581  0.9927
H  0.6348  0.3779  0.2259
H  0.6414  0.2457  0.2875
H  0.6716  0.7728  0.3758
H  0.8196  0.8514  0.6767
H  0.8783  0.2579  0.7196
H  0.9768  0.3576  0.9334
O  0.0053  0.2238  0.9828
O  0.0172  0.6308  0.6011
O  0.0255  0.9924  0.9522
O  0.0561  0.4957  0.4355
O  0.0949  0.1353  0.8044
O  0.1018  0.8810  0.2203
O  0.1066  0.3246  0.1761
O  0.1886  0.1236  0.1916
O  0.1949  0.7791  0.4372
O  0.2096  0.2247  0.3953
O  0.2205  0.6260  0.1051
O  0.2608  0.4951  0.9439
O  0.2775  0.8878  0.6063
O  0.2938  0.3982  0.5431
O  0.3017  0.6327  0.4952
O  0.3299  0.0067  0.8588
O  0.3676  0.4862  0.3464
O  0.3942  0.1251  0.6039
O  0.4045  0.3000  0.7693
O  0.4546  0.7251  0.8659
O  0.4607  0.5015  0.7324
O  0.4983  0.4028  0.9539
O  0.5017  0.9028  0.0461
O  0.5393  0.0015  0.2676
O  0.5454  0.2251  0.1341
O  0.5955  0.8000  0.2307
O  0.6058  0.6251  0.3961
O  0.6324  0.9862  0.6536
O  0.6701  0.5067  0.1412
O  0.6983  0.1327  0.5048
O  0.7062  0.8982  0.4569
O  0.7225  0.3878  0.3937
O  0.7392  0.9951  0.0561
O  0.7795  0.1260  0.8949
O  0.7904  0.7247  0.6047
O  0.8051  0.2791  0.5628
O  0.8114  0.6236  0.8084
O  0.8934  0.8246  0.8239
O  0.8982  0.3810  0.7797
O  0.9051  0.6353  0.1956
O  0.9439  0.9957  0.5645
O  0.9745  0.4924  0.0478
O  0.9828  0.1308  0.3989
O  0.9947  0.7238  0.0172

=====

Entry 10:
## Mg2Al3VS8 (meta-GGA SCAN)

Data for a crystal of Mg2Al3VS8 relaxed with PBEsol.

Properties
total energy: -10.47 eV per atom
Fermi-level density of states: 5.9 states/eV/cell
uncorrected formation energy: -1344 meV per atom
mass density: 2.77 Mg/m³

a b c (Å): 7.1874 7.1874 7.1874
angles (deg): 59.88 59.88 59.88
Element x y z (fractional)
Mg  0.1253  0.1253  0.1253
Mg  0.8747  0.8747  0.8747
Al  0.0000  0.5000  0.5000
Al  0.5000  0.0000  0.5000
Al  0.5000  0.5000  0.0000
V  0.5000  0.5000  0.5000
S  0.2621  0.2621  0.2621
S  0.2620  0.2620  0.7136
S  0.2620  0.7136  0.2620
S  0.2864  0.7380  0.7380
S  0.7136  0.2620  0.2620
S  0.7380  0.2864  0.7380
S  0.7380  0.7380  0.2864
S  0.7379  0.7379  0.7379

=====

Entry 11:
## KSrPt3 (meta-GGA SCAN)

Data for a crystal of KSrPt3 relaxed with PBEsol.

Properties
total energy: -47.13 eV per atom
energy of formation from the pure elements: 1.11 eV per atom
Fermi-level density of states: 3.0 states/eV/cell
mass density: 7.92 Mg/m³

a b c (Å): 5.3048 5.3048 5.3048
angles (deg): 90.00 90.00 90.00
Element x y z (fractional)
K  0.0000  0.0000  0.0000
Sr  0.5000  0.5000  0.5000
Pt  0.0000  0.5000  0.5000
Pt  0.5000  0.0000  0.5000
Pt  0.5000  0.5000  0.0000

=====

Entry 12:
## IrAu2CO (meta-GGA SCAN)

Data for a crystal of IrAu2CO relaxed with PBEsol.

Properties
total energy: -43.63 eV per atom
Fermi-level density of states: 2.7 states/eV/cell
uncorrected formation energy: 1523 meV per atom
mass density: 14.32 Mg/m³

a b c (Å): 5.2307 5.2307 2.6025
angles (deg): 90.00 90.00 90.00
Element x y z (fractional)
Ir  0.0000  0.0000  0.0000
Au  0.0000  0.5000  0.5000
Au  0.5000  0.0000  0.5000
C  0.5000  0.5000  0.0000
O  0.5000  0.5000  0.5000